A relaxed structure of RbTl3Rh. Source: Alexandria via LeMat-Bulk, functional PBE-GGA.

Unit cell a=6.7899 b=6.5823 c=6.8198 alpha=90.00 beta=96.03 gamma=90.00
Closest atoms and distances in Å follow each position.
Space group P2_1/m (No. 11)
Unique sites:
Rb1 0.0749 0.2500 0.4195 [2 per cell]  1 Rh 3.38, 6 Tl 3.59-3.77, 2 Rb 3.65
Tl1 0.1309 0.7500 0.0879 [2 per cell]  1 Rh 2.72
Tl2 0.4693 0.5092 0.7496 [4 per cell]  2 Rh 2.78-2.87
Rh1 0.2704 0.2500 0.9842 [2 per cell]  5 Tl 2.72-2.87

Output
density = 8.8 g/cm³
density of states at the Fermi level = 5.16 states/eV per cell
formation enthalpy at 0 K = 0.0765 eV/atom
M_tot = 0.000 μB per atom